DFT (PBE) results for an optimized crystal structure of Na2RhPb.

## Properties
- energy (eV/cell) = -35.45
- energy relative to the elements (eV per atom) = 0.471

a b c (Å): 3.1461 3.1461 33.5515
angles (deg): 90.00 90.00 120.00
Space group R-3m (No. 166, hexagonal axes)
Symmetry-distinct sites (fractional):
Na (0.0000, 0.0000, 0.0802) (multiplicity 6)
Rh (0.0000, 0.0000, 0.0000) (multiplicity 3)
Pb (0.0000, 0.0000, 0.5000) (multiplicity 3)